An optimized crystal structure of Tl9InSn2. Source: the Alexandria database, functional PBE.

Calculated values
- Formation enthalpy at 0 K: 0.03 eV per atom
- Density: 10.08 g/cm³
- V: 360.99 Å³/cell

a b c (Å): 4.8431 4.8431 15.3907
angles (deg): 90.00 90.00 90.00
Last column: nearest neighbours and their distance in Å.
Fractional coordinates of all 12 atoms:
Sn1 0.0000 0.0000 0.6683  12 Tl 3.43-3.55
Tl1 0.5000 0.0000 0.1718  8 Tl 3.42-3.59, 2 Sn 3.45, 2 In 3.59
Sn2 0.0000 0.0000 0.3317  12 Tl 3.43-3.55
In1 0.0000 0.0000 0.0000  12 Tl 3.42-3.59
Tl2 0.0000 0.5000 0.8282  8 Tl 3.42-3.59, 2 Sn 3.45, 2 In 3.59
Tl3 0.5000 0.5000 0.0000  4 In 3.42, 8 Tl 3.59
Tl4 0.5000 0.5000 0.3372  4 Sn 3.43, 8 Tl 3.48-3.51
Tl5 0.5000 0.5000 0.6628  4 Sn 3.43, 8 Tl 3.48-3.51
Tl6 0.5000 0.0000 0.8282  8 Tl 3.42-3.59, 2 Sn 3.45, 2 In 3.59
Tl7 0.5000 0.0000 0.5000  8 Tl 3.42-3.48, 4 Sn 3.55
Tl8 0.0000 0.5000 0.5000  8 Tl 3.42-3.48, 4 Sn 3.55
Tl9 0.0000 0.5000 0.1718  8 Tl 3.42-3.59, 2 Sn 3.45, 2 In 3.59

An optimized crystal structure of Tl3InSn. Source: the Alexandria database, functional PBE.

Calculated values
- Excess energy over the best structure of this formula in the dataset: 0.000 eV/atom
- Formation enthalpy at 0 K: 0.02 eV per atom
- Density: 9.54 g/cm³
- V: 294.66 Å³/cell

a b c (Å): 5.5689 7.1201 9.4362
angles (deg): 69.71 83.21 57.43
Last column: nearest neighbours and their distance in Å.
Fractional coordinates of all 10 atoms:
Sn1 0.4535 0.0867 0.6469  1 Sn 3.29, 2 In 3.30-3.33, 8 Tl 3.34-3.67
In1 0.0403 0.9084 0.8443  2 Sn 3.30-3.33, 7 Tl 3.35-3.66, 1 In 3.50
Tl1 0.2384 0.5023 0.2482  6 Tl 3.32-3.47, 2 Sn 3.36-3.65, 2 In 3.40-3.71
Tl2 0.8402 0.3052 0.4489  5 Tl 3.32-3.56, 4 Sn 3.34-3.63, 2 In 3.44-3.66
Tl3 0.6384 0.7047 0.0467  6 Tl 3.35-3.72, 4 In 3.35-3.57, 2 Sn 3.55-3.67
Sn2 0.5465 0.9133 0.3531  1 Sn 3.29, 2 In 3.30-3.33, 8 Tl 3.34-3.67
Tl4 0.1598 0.6948 0.5511  5 Tl 3.32-3.56, 4 Sn 3.34-3.63, 2 In 3.44-3.66
Tl5 0.3616 0.2953 0.9533  6 Tl 3.35-3.72, 4 In 3.35-3.57, 2 Sn 3.55-3.67
Tl6 0.7616 0.4977 0.7518  6 Tl 3.32-3.47, 2 Sn 3.36-3.65, 2 In 3.40-3.71
In2 0.9597 0.0916 0.1557  2 Sn 3.30-3.33, 7 Tl 3.35-3.66, 1 In 3.50

An optimized crystal structure of Tl6In4Sn. Source: the Alexandria database, functional PBE.

Calculated values
- Formation enthalpy at 0 K: 0.08 eV per atom
- Density: 8.87 g/cm³
- V: 337.78 Å³/cell

a b c (Å): 6.4518 6.4518 9.3093
angles (deg): 110.27 110.27 90.00
Last column: nearest neighbours and their distance in Å.
Fractional coordinates of all 11 atoms:
Tl1 0.0000 0.5000 0.0000  4 In 3.11, 2 Sn 3.23
In1 0.0549 0.0549 0.7523  5 Tl 3.11-3.36, 1 In 3.26
Sn1 0.5000 0.5000 0.0000  8 Tl 3.23-3.42, 4 In 3.55
Tl2 0.5000 0.0000 0.0000  4 In 3.11, 2 Sn 3.23
Tl3 0.1260 0.5135 0.6396  5 In 3.18-3.54, 1 Sn 3.42, 1 Tl 3.54
Tl4 0.5135 0.1260 0.6396  5 In 3.18-3.54, 1 Sn 3.42, 1 Tl 3.54
Tl5 0.4865 0.4865 0.3604  5 In 3.18-3.54, 1 Sn 3.42, 1 Tl 3.54
In2 0.3026 0.9451 0.2477  5 Tl 3.11-3.36, 1 In 3.26
Tl6 0.8740 0.8740 0.3604  5 In 3.18-3.54, 1 Sn 3.42, 1 Tl 3.54
In3 0.9451 0.3026 0.2477  5 Tl 3.11-3.36, 1 In 3.26
In4 0.6974 0.6974 0.7523  5 Tl 3.11-3.36, 1 In 3.26

An optimized crystal structure of TlInSn. Source: the Alexandria database, functional PBE.

Calculated values
- Excess energy over the best structure of this formula in the dataset: 0.000 eV/atom
- Formation enthalpy at 0 K: 0.01 eV per atom
- Density: 8.03 g/cm³
- V: 181.20 Å³/cell

a b c (Å): 5.2367 6.4286 6.4976
angles (deg): 74.01 66.24 65.96
Last column: nearest neighbours and their distance in Å.
Fractional coordinates of all 6 atoms:
In1 0.8416 0.2367 0.0801  3 Sn 3.04-3.08, 1 In 3.06
Sn1 0.8353 0.6340 0.6954  1 Sn 2.97, 3 In 3.04-3.08, 1 Tl 3.32
Tl1 0.5601 0.2024 0.6774  5 Sn 3.32-3.65, 3 In 3.53-3.57
Sn2 0.1647 0.3660 0.3046  1 Sn 2.97, 3 In 3.04-3.08, 1 Tl 3.32
In2 0.1584 0.7633 0.9199  3 Sn 3.04-3.08, 1 In 3.06
Tl2 0.4399 0.7976 0.3226  5 Sn 3.32-3.65, 3 In 3.53-3.57

An optimized crystal structure of Tl12InSn3. Source: the Alexandria database, functional PBE.

Calculated values
- Formation enthalpy at 0 K: 0.03 eV per atom
- Density: 10.16 g/cm³
- V: 477.91 Å³/cell

a b c (Å): 5.2568 5.2568 17.2944
angles (deg): 90.00 90.00 90.00
Last column: nearest neighbours and their distance in Å.
Fractional coordinates of all 16 atoms:
Tl1 0.0000 0.5000 0.1243  2 Sn 3.38, 8 Tl 3.40-3.72, 2 In 3.40
Tl2 0.5000 0.0000 0.6262  8 Tl 3.40-3.72, 4 Sn 3.42
Tl3 0.5000 0.5000 0.7505  8 Tl 3.40-3.41, 4 Sn 3.72
Tl4 0.0000 0.5000 0.8757  2 Sn 3.38, 8 Tl 3.40-3.72, 2 In 3.40
Sn1 0.0000 0.0000 0.7531  12 Tl 3.38-3.72
Sn2 0.0000 0.0000 0.2469  12 Tl 3.38-3.72
In1 0.0000 0.0000 0.0000  12 Tl 3.40-3.72
Tl5 0.5000 0.5000 0.5000  8 Tl 3.42, 4 Sn 3.72
Tl6 0.5000 0.5000 0.0000  8 Tl 3.40, 4 In 3.72
Tl7 0.5000 0.0000 0.1243  2 Sn 3.38, 8 Tl 3.40-3.72, 2 In 3.40
Tl8 0.5000 0.0000 0.8757  2 Sn 3.38, 8 Tl 3.40-3.72, 2 In 3.40
Tl9 0.5000 0.5000 0.2495  8 Tl 3.40-3.41, 4 Sn 3.72
Tl10 0.0000 0.5000 0.3738  8 Tl 3.40-3.72, 4 Sn 3.42
Tl11 0.0000 0.5000 0.6262  8 Tl 3.40-3.72, 4 Sn 3.42
Tl12 0.5000 0.0000 0.3738  8 Tl 3.40-3.72, 4 Sn 3.42
Sn3 0.0000 0.0000 0.5000  12 Tl 3.42-3.72

An optimized crystal structure of Tl6In3Sn. Source: the Alexandria database, functional PBE.

Calculated values
- Excess energy over the best structure of this formula in the dataset: 0.008 eV/atom
- Formation enthalpy at 0 K: 0.03 eV per atom
- Density: 9.45 g/cm³
- V: 593.46 Å³/cell

a b c (Å): 3.3401 12.8865 16.4463
angles (deg): 123.03 90.00 90.00
Last column: nearest neighbours and their distance in Å.
Fractional coordinates of all 20 atoms:
In1 0.2500 0.8878 0.9047  6 Tl 3.28-3.66, 4 In 3.33-3.34
In2 0.2500 0.3846 0.5013  5 Tl 3.24-3.46, 4 In 3.34-3.43
In3 0.7500 0.1122 0.0953  6 Tl 3.28-3.66, 4 In 3.33-3.34
Tl1 0.2500 0.8775 0.5130  6 Tl 3.34-3.66, 3 Sn 3.46-3.54, 2 In 3.66
In4 0.7500 0.6154 0.4987  5 Tl 3.24-3.46, 4 In 3.34-3.43
Tl2 0.7500 0.8577 0.1028  6 Tl 3.34-3.56, 3 In 3.35-3.63, 2 Sn 3.50
In5 0.7500 0.3955 0.9018  1 Sn 3.21, 4 In 3.32-3.34, 5 Tl 3.42-3.56
Tl3 0.2500 0.3876 0.2935  7 Tl 3.34-3.63, 5 In 3.44-3.66
Tl4 0.7500 0.6450 0.3047  7 Tl 3.32-3.63, 3 In 3.41-3.56, 2 Sn 3.45
Tl5 0.2500 0.3550 0.6953  7 Tl 3.32-3.63, 3 In 3.41-3.56, 2 Sn 3.45
Tl6 0.2500 0.1423 0.8972  6 Tl 3.34-3.56, 3 In 3.35-3.63, 2 Sn 3.50
In6 0.2500 0.6045 0.0982  1 Sn 3.21, 4 In 3.32-3.34, 5 Tl 3.42-3.56
Tl7 0.7500 0.6124 0.7065  7 Tl 3.34-3.63, 5 In 3.44-3.66
Sn1 0.2500 0.8734 0.2961  1 In 3.21, 8 Tl 3.31-3.54, 2 Sn 3.34
Tl8 0.2500 0.1266 0.2906  3 In 3.24-3.53, 1 Sn 3.31, 5 Tl 3.34-3.56
Tl9 0.2500 0.6311 0.9021  4 In 3.28-3.46, 7 Tl 3.32-3.51
Tl10 0.7500 0.8734 0.7094  3 In 3.24-3.53, 1 Sn 3.31, 5 Tl 3.34-3.56
Sn2 0.7500 0.1266 0.7039  1 In 3.21, 8 Tl 3.31-3.54, 2 Sn 3.34
Tl11 0.7500 0.3689 0.0979  4 In 3.28-3.46, 7 Tl 3.32-3.51
Tl12 0.7500 0.1225 0.4870  6 Tl 3.34-3.66, 3 Sn 3.46-3.54, 2 In 3.66

An optimized crystal structure of Tl2In7Sn3. Source: the Alexandria database, functional PBE.

Calculated values
- Formation enthalpy at 0 K: 0.07 eV per atom
- Density: 7.50 g/cm³
- V: 347.16 Å³/cell

a b c (Å): 3.4382 5.3342 18.9369
angles (deg): 91.60 90.00 90.00
Last column: nearest neighbours and their distance in Å.
Fractional coordinates of all 12 atoms:
In1 0.0000 0.0000 0.0000  4 Sn 3.17, 4 In 3.17-3.44
Tl1 0.5000 0.7100 0.2943  5 In 3.15-3.51, 2 Tl 3.44
In2 0.5000 0.2549 0.5394  2 In 3.05-3.07, 1 Tl 3.15, 2 Sn 3.41
In3 0.0000 0.3208 0.8614  7 In 3.17-3.44, 2 Sn 3.26, 2 Tl 3.41
In4 0.5000 0.8110 0.8235  6 In 3.23-3.44, 2 Tl 3.44-3.51
In5 0.5000 0.7451 0.4606  2 In 3.05-3.07, 1 Tl 3.15, 2 Sn 3.41
In6 0.0000 0.6792 0.1386  7 In 3.17-3.44, 2 Sn 3.26, 2 Tl 3.41
Sn1 0.0000 0.7730 0.6161  6 In 3.41-3.53, 2 Sn 3.44, 4 Tl 3.57-3.63
Sn2 0.0000 0.2270 0.3839  6 In 3.41-3.53, 2 Sn 3.44, 4 Tl 3.57-3.63
Tl2 0.5000 0.2900 0.7057  5 In 3.15-3.51, 2 Tl 3.44
In7 0.5000 0.1890 0.1765  6 In 3.23-3.44, 2 Tl 3.44-3.51
Sn3 0.5000 0.5000 0.0000  8 In 3.17-3.26, 2 Sn 3.44

An optimized crystal structure of Tl3In4Sn. Source: the Alexandria database, functional PBE.

Calculated values
- Excess energy over the best structure of this formula in the dataset: 0.000 eV/atom
- Formation enthalpy at 0 K: 0.02 eV per atom
- Density: 8.62 g/cm³
- V: 229.35 Å³/cell

a b c (Å): 3.4175 3.4175 19.6370
angles (deg): 90.00 90.00 90.00
Last column: nearest neighbours and their distance in Å.
Fractional coordinates of all 8 atoms:
Tl1 0.5000 0.5000 0.7535  4 Tl 3.42, 8 In 3.45-3.50
Tl2 0.5000 0.5000 0.2465  4 Tl 3.42, 8 In 3.45-3.50
In1 0.0000 0.0000 0.1178  4 Sn 3.35, 4 In 3.42, 4 Tl 3.50
In2 0.0000 0.0000 0.8822  4 Sn 3.35, 4 In 3.42, 4 Tl 3.50
In3 0.0000 0.0000 0.6279  4 In 3.42, 8 Tl 3.45-3.49
Tl3 0.5000 0.5000 0.5000  4 Tl 3.42, 8 In 3.49
Sn1 0.5000 0.5000 0.0000  8 In 3.35, 4 Sn 3.42
In4 0.0000 0.0000 0.3721  4 In 3.42, 8 Tl 3.45-3.49

An optimized crystal structure of TlIn2Sn3. Source: the Alexandria database, functional PBE.

Calculated values
- Formation enthalpy at 0 K: 0.04 eV per atom
- Density: 7.78 g/cm³
- V: 337.08 Å³/cell

a b c (Å): 6.3115 6.3115 9.5551
angles (deg): 91.09 91.09 117.60
Last column: nearest neighbours and their distance in Å.
Fractional coordinates of all 12 atoms:
In1 0.6809 0.9462 0.3996  5 Sn 3.24-3.34, 1 In 3.30, 3 Tl 3.44-3.53
In2 0.0538 0.3191 0.1004  5 Sn 3.24-3.34, 1 In 3.30, 3 Tl 3.44-3.53
Sn1 0.3857 0.6143 0.7500  4 Sn 3.22-3.32, 2 Tl 3.28, 2 In 3.34
In3 0.9462 0.6809 0.8996  5 Sn 3.24-3.34, 1 In 3.30, 3 Tl 3.44-3.53
Tl1 0.1326 0.8674 0.2500  4 Sn 3.28-3.49, 6 In 3.44-3.53
Tl2 0.8674 0.1326 0.7500  4 Sn 3.28-3.49, 6 In 3.44-3.53
Sn2 0.6143 0.3857 0.2500  4 Sn 3.22-3.32, 2 Tl 3.28, 2 In 3.34
Sn3 0.4254 0.1926 0.9349  3 Sn 3.22-3.32, 4 In 3.24-3.33, 1 Tl 3.49
Sn4 0.8074 0.5746 0.5651  3 Sn 3.22-3.32, 4 In 3.24-3.33, 1 Tl 3.49
Sn5 0.5746 0.8074 0.0651  3 Sn 3.22-3.32, 4 In 3.24-3.33, 1 Tl 3.49
Sn6 0.1926 0.4254 0.4349  3 Sn 3.22-3.32, 4 In 3.24-3.33, 1 Tl 3.49
In4 0.3191 0.0538 0.6004  5 Sn 3.24-3.34, 1 In 3.30, 3 Tl 3.44-3.53

An optimized crystal structure of TlIn2Sn. Source: the Alexandria database, functional PBE.

Calculated values
- Excess energy over the best structure of this formula in the dataset: 0.008 eV/atom
- Formation enthalpy at 0 K: 0.03 eV per atom
- Density: 7.99 g/cm³
- V: 114.94 Å³/cell

a b c (Å): 3.8136 3.8136 7.9034
angles (deg): 90.00 90.00 90.00
Last column: nearest neighbours and their distance in Å.
Fractional coordinates of all 4 atoms:
Tl1 0.5000 0.5000 0.5000  8 In 3.45, 4 Tl 3.81
In1 0.0000 0.0000 0.7713  4 Sn 3.25, 4 Tl 3.45, 1 In 3.62
Sn1 0.5000 0.5000 0.0000  8 In 3.25
In2 0.0000 0.0000 0.2287  4 Sn 3.25, 4 Tl 3.45, 1 In 3.62